## TlPb5 (PBE)

Data for a relaxed structure of TlPb5.

symmetry: C2/m (12)
formation energy: -0.0027 eV/atom

Cell lengths 3.626, 6.193, 9.628 Å; angles 113.03, 90.00, 107.02 degrees
Element x y z (fractional)
Pb  0.641  0.282  0.279
Pb  0.975  0.951  0.446
Pb  0.970  0.941  0.943
Pb  0.306  0.611  0.611
Pb  0.636  0.272  0.776
Tl  0.306  0.611  0.111

***

## TlPb3 (PBE)

Data for a relaxed structure of TlPb3.

symmetry: C2/m (12)
formation energy: -0.0001 eV/atom

Cell lengths 6.191, 6.191, 6.016 Å; angles 79.69, 79.69, 33.66 degrees
Element x y z (fractional)
Pb  0.753  0.753  0.748
Pb  0.247  0.247  0.252
Pb  0.500  0.500  0.500
Tl  0.000  0.000  0.000

***

## TlPb3 (PBE)

Data for a relaxed structure of TlPb3.

symmetry: Cmmm (65)
formation energy: -0.0004 eV/atom

Cell lengths 3.503, 6.230, 6.230 Å; angles 112.17, 90.00, 90.00 degrees
Element x y z (fractional)
Pb  0.500  0.500  0.000
Pb  0.000  0.500  0.500
Pb  0.500  0.000  0.500
Tl  0.000  0.000  0.000

***

## Tl5Pb (PBE)

Data for a relaxed structure of Tl5Pb.

symmetry: P-62m (189)
formation energy: -0.0058 eV/atom

Cell lengths 6.154, 6.154, 5.665 Å; angles 90.00, 90.00, 120.00 degrees
Element x y z (fractional)
Tl  0.667  0.667  0.500
Tl  0.004  0.000  0.000
Tl  0.333  0.671  0.000
Tl  0.663  0.329  0.000
Tl  0.000  0.333  0.500
Pb  0.333  0.000  0.500

***

## Tl5Pb (PBE)

Data for a relaxed structure of Tl5Pb.

symmetry: C2/m (12)
formation energy: 0.0083 eV/atom

Cell lengths 5.124, 6.065, 6.940 Å; angles 107.12, 90.00, 114.99 degrees
Element x y z (fractional)
Tl  0.972  0.944  0.444
Tl  0.305  0.611  0.110
Tl  0.637  0.274  0.277
Tl  0.639  0.278  0.779
Tl  0.307  0.615  0.612
Pb  0.972  0.944  0.944

***

## TlPb2 (PBE)

Data for a relaxed structure of TlPb2.

symmetry: Pa-3 (205)
formation energy: 0.2890 eV/atom

Cell lengths 7.501, 7.501, 7.501 Å; angles 90.00, 90.00, 90.00 degrees
Element x y z (fractional)
Tl  0.000  0.000  0.000
Tl  0.500  0.000  0.500
Tl  0.000  0.500  0.500
Tl  0.500  0.500  0.000
Pb  0.124  0.624  0.124
Pb  0.624  0.624  0.376
Pb  0.376  0.124  0.124
Pb  0.876  0.124  0.376
Pb  0.376  0.376  0.624
Pb  0.876  0.376  0.876
Pb  0.124  0.876  0.624
Pb  0.624  0.876  0.876

***

## Tl2Pb (PBE)

Data for a relaxed structure of Tl2Pb.

symmetry: P-3m1 (164)
formation energy: 0.0190 eV/atom

Cell lengths 5.485, 5.485, 3.560 Å; angles 90.00, 90.00, 120.00 degrees
Element x y z (fractional)
Tl  0.333  0.667  0.342
Tl  0.667  0.333  0.658
Pb  0.000  0.000  0.000

***

## Tl8Pb (PBE)

Data for a relaxed structure of Tl8Pb.

symmetry: I4/mmm (139)
formation energy: 0.0114 eV/atom

Cell lengths 7.732, 7.732, 7.732 Å; angles 96.59, 96.59, 140.39 degrees
Element x y z (fractional)
Tl  0.668  0.000  0.668
Tl  0.665  0.665  0.331
Tl  0.335  0.335  0.669
Tl  0.332  0.000  0.332
Tl  0.000  0.332  0.332
Tl  0.665  0.335  0.000
Tl  0.000  0.668  0.668
Tl  0.335  0.665  0.000
Pb  0.000  0.000  0.000

***

## Tl7Pb (PBE)

Data for a relaxed structure of Tl7Pb.

symmetry: Fm-3m (225)
formation energy: 0.0189 eV/atom

Cell lengths 7.018, 7.018, 7.018 Å; angles 60.00, 60.00, 60.00 degrees
Element x y z (fractional)
Tl  0.000  0.000  0.500
Tl  0.000  0.500  0.000
Tl  0.500  0.000  0.500
Tl  0.000  0.500  0.500
Tl  0.500  0.500  0.000
Tl  0.500  0.500  0.500
Tl  0.500  0.000  0.000
Pb  0.000  0.000  0.000

***

## Tl5Pb3 (PBE)

Data for a relaxed structure of Tl5Pb3.

symmetry: Cmmm (65)
formation energy: 0.0004 eV/atom

Cell lengths 4.850, 7.152, 7.152 Å; angles 87.11, 90.00, 90.00 degrees
Element x y z (fractional)
Tl  0.000  0.500  0.000
Tl  0.500  0.251  0.251
Tl  0.000  0.000  0.500
Tl  0.500  0.749  0.749
Tl  0.000  0.000  0.000
Pb  0.500  0.749  0.251
Pb  0.500  0.251  0.749
Pb  0.000  0.500  0.500

***

## Tl4Pb (PBE)

Data for a relaxed structure of Tl4Pb.

symmetry: I4/m (87)
formation energy: 0.0080 eV/atom

Cell lengths 6.023, 6.023, 6.023 Å; angles 100.91, 100.91, 128.41 degrees
Element x y z (fractional)
Tl  0.400  0.200  0.600
Tl  0.600  0.800  0.400
Tl  0.200  0.600  0.801
Tl  0.800  0.400  0.199
Pb  0.000  0.000  0.000

***

## Tl5Pb3 (PBE)

Data for a relaxed structure of Tl5Pb3.

symmetry: I-4m2 (119)
formation energy: 0.0007 eV/atom

Cell lengths 5.099, 5.099, 10.217 Å; angles 104.45, 104.45, 90.00 degrees
Element x y z (fractional)
Tl  0.624  0.624  0.247
Tl  0.999  0.499  0.997
Tl  0.750  0.250  0.500
Tl  0.376  0.376  0.753
Tl  0.501  0.001  0.003
Pb  0.129  0.129  0.258
Pb  0.871  0.871  0.742
Pb  0.250  0.750  0.500

***

Final energy (computed, eV/cell): -20.9; -13.5; -13.5; -15.6; -15.5; -35.7; -8.4; -22.5; -20.1; -23.0; -13.1; -23.0
Size of the total moment (computed, μB/cell): 0.0; 0.0; 0.0; 0.0; 0.0; 0.0; 0.0; 0.0; 0.0; 0.0; 0.0; 0.0
Fermi-level density of states (computed, states/eV per atom): 0.35; 0.48; 0.51; 0.30; 0.47; 0.87; 0.33; 0.51; 0.59; 0.48; 0.47; 0.50